[1]
# LiHoNiPt

A geometry-optimized LiHoNiPt structure (PBE, Alexandria via LeMat-Bulk).

abc: 6.4772 6.4772 6.4772
angles: 90.00 90.00 90.00
Last column: nearest neighbours and their distance in Å.
Fractional coordinates of all 16 atoms:
1 Li 0.0000 0.0000 0.0000  4 Ni 2.80, 4 Pt 2.80
2 Li 0.0000 0.5000 0.5000  4 Ni 2.80, 4 Pt 2.80
3 Li 0.5000 0.0000 0.5000  4 Ni 2.80, 4 Pt 2.80
4 Li 0.5000 0.5000 0.0000  4 Ni 2.80, 4 Pt 2.80
5 Ho 0.0000 0.0000 0.5000  4 Ni 2.80, 4 Pt 2.80
6 Ho 0.0000 0.5000 0.0000  4 Ni 2.80, 4 Pt 2.80
7 Ho 0.5000 0.0000 0.0000  4 Ni 2.80, 4 Pt 2.80
8 Ho 0.5000 0.5000 0.5000  4 Ni 2.80, 4 Pt 2.80
9 Ni 0.2500 0.2500 0.2500  4 Li 2.80, 4 Ho 2.80
10 Ni 0.2500 0.7500 0.7500  4 Li 2.80, 4 Ho 2.80
11 Ni 0.7500 0.2500 0.7500  4 Li 2.80, 4 Ho 2.80
12 Ni 0.7500 0.7500 0.2500  4 Li 2.80, 4 Ho 2.80
13 Pt 0.2500 0.2500 0.7500  4 Li 2.80, 4 Ho 2.80
14 Pt 0.2500 0.7500 0.2500  4 Li 2.80, 4 Ho 2.80
15 Pt 0.7500 0.2500 0.2500  4 Li 2.80, 4 Ho 2.80
16 Pt 0.7500 0.7500 0.7500  4 Li 2.80, 4 Ho 2.80

Results
symmetry: F-43m, No. 216
DFT formation energy: -54.8 kJ per mole of atoms
calculated total energy: -82.33 eV for the cell shown

[2]
# SnSbPO2

A geometry-optimized SnSbPO2 structure (PBE, Alexandria via LeMat-Bulk).

abc: 4.0678 4.0678 5.2021
angles: 90.00 90.00 90.00
Last column: nearest neighbours and their distance in Å.
Fractional coordinates of all 5 atoms:
1 Sn 0.0000 0.0000 0.0000  4 P 2.88
2 Sb 0.5000 0.5000 0.5000  4 O 2.03
3 P 0.5000 0.5000 0.0000  2 Sb 2.60, 4 Sn 2.88
4 O 0.0000 0.5000 0.5000  2 Sb 2.03
5 O 0.5000 0.0000 0.5000  2 Sb 2.03

Results
symmetry: P4/mmm, No. 123
energy above the lowest structure with this stoichiometry: 0.000 eV per atom
formation energy from raw total energies: -0.491 eV per atom
calculated total energy: -25.91 eV for the cell shown

[3]
# Tb4MgAl

A geometry-optimized Tb4MgAl structure (PBE, Alexandria via LeMat-Bulk).

abc: 13.3018 3.6109 7.2666
angles: 90.00 106.01 90.00
Last column: nearest neighbours and their distance in Å.
Fractional coordinates of all 12 atoms:
1 Tb 0.1516 0.0000 0.3353  2 Al 3.18, 2 Mg 3.25, 3 Tb 3.49-3.52
2 Tb 0.1526 0.0000 0.8167  2 Al 3.18, 2 Mg 3.26, 1 Tb 3.49
3 Tb 0.3474 0.5000 0.1833  2 Al 3.18, 2 Mg 3.26, 1 Tb 3.49
4 Tb 0.3484 0.5000 0.6647  2 Al 3.18, 2 Mg 3.25, 3 Tb 3.49-3.52
5 Tb 0.6516 0.5000 0.3353  2 Al 3.18, 2 Mg 3.25, 3 Tb 3.49-3.52
6 Tb 0.6526 0.5000 0.8167  2 Al 3.18, 2 Mg 3.26, 1 Tb 3.49
7 Tb 0.8474 0.0000 0.1833  2 Al 3.18, 2 Mg 3.26, 1 Tb 3.49
8 Tb 0.8484 0.0000 0.6647  2 Al 3.18, 2 Mg 3.25, 3 Tb 3.49-3.52
9 Mg 0.0000 0.5000 0.0000  8 Tb 3.25-3.26, 2 Mg 3.61, 2 Al 3.63
10 Mg 0.5000 0.0000 0.0000  8 Tb 3.25-3.26, 2 Mg 3.61, 2 Al 3.63
11 Al 0.0000 0.5000 0.5000  8 Tb 3.18
12 Al 0.5000 0.0000 0.5000  8 Tb 3.18

Results
symmetry: C2/m, No. 12
DFT formation energy: -12.9 kJ per mole of atoms
energy above the lowest structure with this stoichiometry: 0.000 eV per atom
calculated total energy: -49.32 eV for the cell shown

Question: Which of these has the highest calculated total energy?
Answer: SnSbPO2

Question: Among the records above, which one has the lowest calculated total energy?
Answer: LiHoNiPt